# 1
# BaSn2Te6Pb3

A relaxed structure of BaSn2Te6Pb3 (PBE, Alexandria via LeMat-Bulk).

Output
Total energy: -3.897 eV/atom
Crystal system: monoclinic

a b c (Å): 4.670 9.361 10.404
angles (deg): 102.08 102.97 90.00
Element x y z (fractional)
Ba  0.500  0.000  0.000
Sn  0.831  0.669  0.662
Sn  0.169  0.331  0.338
Te  0.326  0.903  0.653
Te  0.668  0.581  0.337
Te  0.674  0.097  0.347
Te  0.006  0.266  0.011
Te  0.994  0.734  0.989
Te  0.332  0.419  0.663
Pb  0.500  0.500  0.000
Pb  0.835  0.176  0.670
Pb  0.165  0.824  0.330


# 2
# KO2F

A relaxed structure of KO2F (PBE, Alexandria via LeMat-Bulk).

Output
Total energy: -3.665 eV/atom
Crystal system: tetragonal

a b c (Å): 3.470 3.470 11.111
angles (deg): 81.02 81.02 90.00
Element x y z (fractional)
K  0.000  0.000  0.000
K  0.750  0.250  0.500
O  0.375  0.125  0.250
O  0.375  0.625  0.250
O  0.375  0.625  0.750
O  0.875  0.625  0.750
F  0.500  0.500  0.000
F  0.250  0.750  0.500


Which value of total energy does entry 1 give? -3.897 eV/atom


Among the records above, which one has the lowest total energy? BaSn2Te6Pb3


Look up the total energy of the first one. -3.897 eV/atom


total energy of number 2 (KO2F)? -3.665 eV/atom